(1)
Compound: TcSnIr
Source: Alexandria
Functional: PBE
Structure: relaxed

Output
Electronic total energy: -7.64 eV per atom
Space-group type: No. 8
Energy above the most stable polymorph in this dataset: 86 meV per atom
Formation enthalpy at 0 K: 0.3 eV per formula unit

a = 5.2717 Å, b = 5.2717 Å, c = 6.8305 Å
α = 99.38°, β = 99.38°, γ = 32.45°
Last column: nearest neighbours and their distance in Å.
Sites, in units of the cell vectors:
1 Tc 0.0000 0.0000 0.0000  4 Sn 2.76-2.93, 4 Tc 2.77-2.95, 2 Ir 2.77
2 Tc 0.6403 0.6403 0.3114  5 Ir 2.76-2.82, 4 Tc 2.77-2.95, 3 Sn 2.84
3 Sn 0.0058 0.0058 0.5730  5 Ir 2.73-2.85, 3 Tc 2.84-2.93, 2 Sn 2.95
4 Sn 0.7231 0.7231 0.9339  4 Ir 2.73-2.78, 4 Tc 2.76-2.84, 2 Sn 2.95
5 Ir 0.2875 0.2875 0.6264  5 Sn 2.73-2.81, 2 Tc 2.82, 3 Ir 2.83-2.95
6 Ir 0.3638 0.3638 0.2467  5 Tc 2.76-2.80, 4 Sn 2.78-2.85, 3 Ir 2.83-2.95

***

(2)
Compound: Ba3YZn2O6
Source: Alexandria
Functional: PBE
Structure: relaxed

Output
Electronic total energy: -5.93 eV per atom
Space-group type: No. 164
Formation energy from raw total energies: -2.21 eV/atom

a = 6.1730 Å, b = 6.1730 Å, c = 7.0534 Å
α = 90.00°, β = 90.00°, γ = 120.00°
Last column: nearest neighbours and their distance in Å.
Sites, in units of the cell vectors:
1 Ba 0.0000 0.0000 0.0000  6 O 2.80
2 Ba 0.3333 0.6667 0.6428  9 O 2.97-3.11, 1 Zn 3.13
3 Ba 0.6667 0.3333 0.3572  9 O 2.97-3.11, 1 Zn 3.13
4 Y 0.0000 0.0000 0.5000  6 O 2.25
5 Zn 0.3333 0.6667 0.1988  3 O 1.93
6 Zn 0.6667 0.3333 0.8012  3 O 1.93
7 O 0.1670 0.3340 0.3059  1 Zn 1.93
8 O 0.1670 0.8330 0.3059  1 Zn 1.93
9 O 0.3340 0.1670 0.6941  1 Zn 1.93
10 O 0.6660 0.8330 0.3059  1 Zn 1.93
11 O 0.8330 0.1670 0.6941  1 Zn 1.93
12 O 0.8330 0.6660 0.6941  1 Zn 1.93

***

(3)
Compound: HSeBr
Source: Alexandria
Functional: PBE
Structure: relaxed

Output
Electronic total energy: -2.89 eV per atom
Space-group type: No. 2
Energy above the most stable polymorph in this dataset: 10 meV per atom

a = 4.4224 Å, b = 8.2213 Å, c = 9.1118 Å
α = 75.80°, β = 84.76°, γ = 88.55°
Last column: nearest neighbours and their distance in Å.
Sites, in units of the cell vectors:
1 H 0.1242 0.2842 0.4942  1 H 0.75
2 H 0.1546 0.3542 0.5306  1 H 0.75
3 H 0.8454 0.6458 0.4694  1 H 0.75
4 H 0.8758 0.7158 0.5058  1 H 0.75
5 Se 0.0169 0.1339 0.9188  2 Se 2.33-2.44
6 Se 0.3469 0.2637 0.0571  1 Se 2.44, 2 Br 2.49-2.63
7 Se 0.6531 0.7363 0.9429  1 Se 2.44, 2 Br 2.49-2.63
8 Se 0.9831 0.8661 0.0812  2 Se 2.33-2.44
9 Br 0.2952 0.5069 0.8118  1 Se 2.63
10 Br 0.3897 0.0270 0.2846  1 Se 2.49
11 Br 0.6103 0.9730 0.7154  1 Se 2.49
12 Br 0.7048 0.4931 0.1882  1 Se 2.63